(1)
Pd2Pb2Au: relaxed, PBE-GGA.

abc: 8.093 8.093 8.093
angles: 152.32 152.32 39.54
Fractional coordinates of all 5 atoms:
Pd1 0.250 0.750 0.500
Pd2 0.750 0.250 0.500
Pb1 0.112 0.112 0.000
Pb2 0.888 0.888 0.000
Au1 0.500 0.500 0.000

Results
ΔH_f (0 K) = -0.026 eV/atom
uncorrected energy = -4.24 eV per atom


(2)
TePdI: relaxed, PBE-GGA.

abc: 3.965 5.614 8.930
angles: 90.00 90.00 90.00
Fractional coordinates of all 6 atoms:
Te1 0.250 0.250 0.071
Te2 0.750 0.750 0.929
Pd1 0.250 0.750 0.129
Pd2 0.750 0.250 0.871
I1 0.250 0.250 0.659
I2 0.750 0.750 0.341

Results
uncorrected energy = -3.59 eV per atom


| no. | calculated density (g cm⁻³) |
| --- | --- |
| 1 | 11.99 |
| 2 | 6.03 |